A plane-wave DFT calculation with PBE was carried out for an optimized crystal structure of ErCo3PC.

Cell lengths 5.417, 5.265, 5.981 Å; angles 116.11, 90.00, 90.00 degrees
Site moments in Bohr magnetons follow the coordinates.
Fractional positions:
Er  0.750  0.251  0.502  -0.01
Er  0.250  0.749  0.498  -0.01
Co  0.250  0.179  0.359  0.03
Co  0.000  0.244  0.000  0.17
Co  0.500  0.756  0.000  0.17
Co  0.500  0.244  0.000  0.17
Co  0.000  0.756  0.000  0.17
Co  0.750  0.821  0.641  0.03
P  0.250  0.378  0.756  0.01
P  0.750  0.622  0.244  0.01
C  0.250  0.011  0.022  0.00
C  0.750  0.989  0.978  0.00

Summary:
Total energy ... -7.178 eV/atom